Below is an optimized crystal structure of SbP2PbS, with properties calculated at the PBE level.

Structure (POSCAR):
```
SbP2PbS
1.0
5.269 0.000 0.000
0.000 5.269 0.000
0.000 0.000 5.398
Sb P S Pb
1 2 1 1
Cartesian
0.000 0.000 0.000 Sb
0.000 2.634 0.000 P
2.634 0.000 0.000 P
0.000 0.000 2.699 S
2.634 2.634 2.699 Pb
```

## Properties
The total energy comes out at -3.85 eV per atom.